1.
Entry from the Alexandria database: crystalline Tm3NiAg2 at its relaxed geometry (GGA-PBE).

Cell lengths 4.9459, 4.9459, 6.1108 Å; angles 90.00, 90.00, 120.00 degrees
Closest atoms and distances in Å follow each position.
Positions (direct):
Tm 0.3333 0.6667 0.1492  3 Ni 3.00, 5 Ag 3.01-3.10
Tm 0.6667 0.3333 0.8508  3 Ni 3.00, 5 Ag 3.01-3.10
Ag 0.3333 0.6667 0.6572  8 Tm 3.01-3.10
Ag 0.6667 0.3333 0.3428  8 Tm 3.01-3.10
Ni 0.0000 0.0000 0.0000  8 Tm 3.00-3.06
Tm 0.0000 0.0000 0.5000  6 Ag 3.01, 2 Ni 3.06

## Properties
Electronic total energy (hartree per atom): -0.165
Polymorph energy (0 for the lowest one) (eV/f.u.): 0.00
Calculated formation energy (eV per atom): -0.35
Space-group type: P-3m1

***

2.
Entry from the Alexandria database: crystalline GaAsOsBr2 at its relaxed geometry (GGA-PBE).

Cell lengths 5.3583, 5.3583, 4.6501 Å; angles 90.00, 90.00, 90.00 degrees
Closest atoms and distances in Å follow each position.
Positions (direct):
Ga 0.5000 0.5000 0.5000  8 Br 3.55, 4 As 3.79
As 0.0000 0.0000 0.5000  2 Os 2.33
Br 0.5000 0.0000 0.0000  2 Os 2.68
Os 0.0000 0.0000 0.0000  2 As 2.33
Br 0.0000 0.5000 0.0000  2 Os 2.68

## Properties
Electronic total energy (hartree per atom): -0.150
Polymorph energy (0 for the lowest one) (eV/f.u.): 0.00
Raw formation energy (eV per atom): 0.37
Space-group type: P4/mmm

***

3.
Entry from the Alexandria database: crystalline Nd2Se2I at its relaxed geometry (GGA-PBE).

Cell lengths 4.4359, 5.8608, 7.6827 Å; angles 112.42, 106.78, 90.00 degrees
Closest atoms and distances in Å follow each position.
Positions (direct):
Nd 0.6865 0.1865 0.3730  4 Se 2.91-2.94
Se 0.6739 0.6739 0.3478  4 Nd 2.91-2.94
I 0.0000 0.0000 0.0000  4 Nd 3.35
Nd 0.3135 0.8135 0.6270  4 Se 2.91-2.94
Se 0.3261 0.3261 0.6522  4 Nd 2.91-2.94

## Properties
Electronic total energy (hartree per atom): -0.193
Polymorph energy (0 for the lowest one) (eV/f.u.): 0.00
Raw formation energy (eV per atom): -1.65
Space-group type: Immm

***

4.
Entry from the Alexandria database: crystalline GdPuZnHg at its relaxed geometry (GGA-PBE).

Cell lengths 5.2200, 5.2200, 5.2200 Å; angles 60.00, 60.00, 60.00 degrees
Closest atoms and distances in Å follow each position.
Positions (direct):
Gd 0.2500 0.2500 0.2500  4 Hg 3.20, 4 Zn 3.20
Zn 0.0000 0.0000 0.0000  4 Gd 3.20, 4 Pu 3.20
Pu 0.7500 0.7500 0.7500  4 Hg 3.20, 4 Zn 3.20
Hg 0.5000 0.5000 0.5000  4 Gd 3.20, 4 Pu 3.20

## Properties
Electronic total energy (hartree per atom): -0.283
Calculated formation energy (eV per atom): -0.21
Space-group type: F-43m

***

5.
Entry from the Alexandria database: crystalline Mg5Tl6Pb2 at its relaxed geometry (GGA-PBE).

Cell lengths 3.5156, 10.9400, 18.4492 Å; angles 90.00, 90.00, 90.00 degrees
Closest atoms and distances in Å follow each position.
Positions (direct):
Tl 0.5000 0.8008 0.3896  3 Mg 2.98-3.21
Mg 0.5000 0.4066 0.7315  5 Tl 3.15-3.26, 4 Pb 3.25-3.31, 2 Mg 3.52
Tl 0.5000 0.3008 0.1104  3 Mg 2.98-3.21
Pb 0.0000 0.8435 0.2350  4 Mg 3.25-3.31, 4 Tl 3.38-3.47, 2 Pb 3.52
Tl 0.5000 0.1992 0.6104  3 Mg 2.98-3.21
Tl 0.0000 0.0379 0.0864  4 Mg 3.19-3.26, 5 Tl 3.29-3.52, 1 Pb 3.47
Pb 0.0000 0.3435 0.2650  4 Mg 3.25-3.31, 4 Tl 3.38-3.47, 2 Pb 3.52
Pb 0.0000 0.6565 0.7350  4 Mg 3.25-3.31, 4 Tl 3.38-3.47, 2 Pb 3.52
Tl 0.0000 0.5379 0.4136  4 Mg 3.19-3.26, 5 Tl 3.29-3.52, 1 Pb 3.47
Mg 0.5000 0.6984 0.5527  5 Tl 3.19-3.22, 3 Mg 3.44-3.52
Mg 0.5000 0.9066 0.7685  5 Tl 3.15-3.26, 4 Pb 3.25-3.31, 2 Mg 3.52
Tl 0.0000 0.4621 0.5864  4 Mg 3.19-3.26, 5 Tl 3.29-3.52, 1 Pb 3.47
Mg 0.5000 0.0934 0.2315  5 Tl 3.15-3.26, 4 Pb 3.25-3.31, 2 Mg 3.52
Tl 0.0000 0.9118 0.6266  6 Mg 3.08-3.22, 1 Pb 3.43
Tl 0.0000 0.4118 0.8734  6 Mg 3.08-3.22, 1 Pb 3.43
Tl 0.0000 0.0882 0.3734  6 Mg 3.08-3.22, 1 Pb 3.43
Mg 0.5000 0.8016 0.0527  5 Tl 3.19-3.22, 3 Mg 3.44-3.52
Mg 0.5000 0.3016 0.4473  5 Tl 3.19-3.22, 3 Mg 3.44-3.52
Mg 0.5000 0.5934 0.2685  5 Tl 3.15-3.26, 4 Pb 3.25-3.31, 2 Mg 3.52
Mg 0.5000 0.0000 0.5000  6 Tl 2.98-3.08
Mg 0.5000 0.5000 0.0000  6 Tl 2.98-3.08
Tl 0.0000 0.9621 0.9136  4 Mg 3.19-3.26, 5 Tl 3.29-3.52, 1 Pb 3.47
Tl 0.5000 0.6992 0.8896  3 Mg 2.98-3.21
Tl 0.0000 0.5882 0.1266  6 Mg 3.08-3.22, 1 Pb 3.43
Mg 0.5000 0.1984 0.9473  5 Tl 3.19-3.22, 3 Mg 3.44-3.52
Pb 0.0000 0.1565 0.7650  4 Mg 3.25-3.31, 4 Tl 3.38-3.47, 2 Pb 3.52

## Properties
Electronic total energy (hartree per atom): -0.083
Calculated formation energy (eV per atom): 0.02
Space-group type: Pbam

***

6.
Entry from the Alexandria database: crystalline Nd2LuPu at its relaxed geometry (GGA-PBE).

Cell lengths 5.6593, 5.6593, 5.6593 Å; angles 60.00, 60.00, 60.00 degrees
Closest atoms and distances in Å follow each position.
Positions (direct):
Pu 0.0000 0.0000 0.0000  8 Nd 3.47
Nd 0.7500 0.7500 0.7500  4 Lu 3.47, 4 Pu 3.47
Lu 0.5000 0.5000 0.5000  8 Nd 3.47
Nd 0.2500 0.2500 0.2500  4 Pu 3.47, 4 Lu 3.47

## Properties
Electronic total energy (hartree per atom): -0.253
Polymorph energy (0 for the lowest one) (eV/f.u.): 0.38
Calculated formation energy (eV per atom): 0.21
Space-group type: Fm-3m

***

7.
Entry from the Alexandria database: crystalline RbTiTe2O8 at its relaxed geometry (GGA-PBE).

Cell lengths 5.6838, 5.4241, 9.4881 Å; angles 70.78, 72.57, 58.40 degrees
Closest atoms and distances in Å follow each position.
Positions (direct):
O 0.2022 0.5706 0.0250  1 Te 1.92, 1 Ti 1.95
Ti 0.0000 0.0000 0.0000  6 O 1.95-1.99
O 0.6908 0.9713 0.1610  1 Te 1.90, 1 Ti 1.99
Te 0.2980 0.2209 0.1831  4 O 1.84-1.92
O 0.1769 0.9713 0.1610  1 Te 1.90, 1 Ti 1.99
O 0.7978 0.4294 0.9750  1 Te 1.92, 1 Ti 1.95
O 0.1796 0.2600 0.3807  1 Te 1.84
O 0.8204 0.7400 0.6193  1 Te 1.84
Rb 0.5000 0.5000 0.5000  10 O 3.31-3.67
O 0.8231 0.0287 0.8390  1 Te 1.90, 1 Ti 1.99
Te 0.7020 0.7791 0.8169  4 O 1.84-1.92
O 0.3092 0.0287 0.8390  1 Te 1.90, 1 Ti 1.99

## Properties
Electronic total energy (hartree per atom): -0.220
Raw formation energy (eV per atom): -1.41
Space-group type: C2/m

***

8.
Entry from the Alexandria database: crystalline Li7Ru at its relaxed geometry (GGA-PBE).

Cell lengths 5.5852, 5.5852, 5.5852 Å; angles 60.00, 60.00, 60.00 degrees
Closest atoms and distances in Å follow each position.
Positions (direct):
Li 0.5000 0.5000 0.5000  12 Li 2.79
Li 0.5000 0.0000 0.0000  10 Li 2.79, 2 Ru 2.79
Li 0.5000 0.5000 0.0000  10 Li 2.79, 2 Ru 2.79
Li 0.0000 0.5000 0.0000  10 Li 2.79, 2 Ru 2.79
Li 0.5000 0.0000 0.5000  10 Li 2.79, 2 Ru 2.79
Ru 0.0000 0.0000 0.0000  12 Li 2.79
Li 0.0000 0.0000 0.5000  10 Li 2.79, 2 Ru 2.79
Li 0.0000 0.5000 0.5000  10 Li 2.79, 2 Ru 2.79

## Properties
Electronic total energy (hartree per atom): -0.098
Calculated formation energy (eV per atom): 0.16
Space-group type: Fm-3m

***

9.
Entry from the Alexandria database: crystalline MgTl3Ga at its relaxed geometry (GGA-PBE).

Cell lengths 5.5227, 5.5227, 5.5227 Å; angles 90.00, 90.00, 90.00 degrees
Closest atoms and distances in Å follow each position.
Positions (direct):
Ga 0.5000 0.5000 0.5000  12 Tl 3.91
Tl 0.0000 0.5000 0.0000  2 Mg 2.76
Tl 0.0000 0.0000 0.5000  2 Mg 2.76
Tl 0.5000 0.0000 0.0000  2 Mg 2.76
Mg 0.0000 0.0000 0.0000  6 Tl 2.76

## Properties
Electronic total energy (hartree per atom): -0.073
Polymorph energy (0 for the lowest one) (eV/f.u.): 0.39
Calculated formation energy (eV per atom): 0.36
Space-group type: Pm-3m

***

10.
Entry from the Alexandria database: crystalline Cu2SiP at its relaxed geometry (GGA-PBE).

Cell lengths 5.9497, 5.9497, 3.9197 Å; angles 100.91, 100.91, 24.84 degrees
Closest atoms and distances in Å follow each position.
Positions (direct):
Si 0.7272 0.7272 0.6749  1 P 2.33, 4 Cu 2.42-2.44, 2 Si 2.56
P 0.5230 0.5230 0.5754  1 Si 2.33, 4 Cu 2.42-2.44, 2 P 2.56
Cu 0.9654 0.9654 0.0403  4 P 2.42-2.44, 4 Cu 2.56-2.65
Cu 0.2844 0.2844 0.2095  4 Si 2.42-2.44, 4 Cu 2.56-2.65

## Properties
Electronic total energy (hartree per atom): -0.174
Raw formation energy (eV per atom): 0.03
Space-group type: Cm

***

11.
Entry from the Alexandria database: crystalline Tl3I2Cl at its relaxed geometry (GGA-PBE).

Cell lengths 5.1141, 5.1144, 10.8125 Å; angles 103.68, 103.68, 90.00 degrees
Closest atoms and distances in Å follow each position.
Positions (direct):
Tl 0.9336 0.9359 0.8740  2 I 3.44, 4 Cl 3.61-3.62
Tl 0.2781 0.2793 0.5614  1 Cl 3.18
Cl 0.4342 0.4362 0.8740  2 Tl 3.18
I 0.7657 0.7668 0.5367  6 Tl 3.44-3.63
I 0.1030 0.1041 0.2113  6 Tl 3.44-3.63
Tl 0.5906 0.5918 0.1865  1 Cl 3.18

## Properties
Electronic total energy (hartree per atom): -0.101
Polymorph energy (0 for the lowest one) (eV/f.u.): 0.16
Raw formation energy (eV per atom): -0.74
Space-group type: I4/mmm

***

12.
Entry from the Alexandria database: crystalline CsTl6Sn at its relaxed geometry (GGA-PBE).

Cell lengths 5.5559, 5.5559, 9.4594 Å; angles 90.00, 90.00, 90.00 degrees
Closest atoms and distances in Å follow each position.
Positions (direct):
Tl 0.0000 0.5000 0.3247  3 Tl 3.18-3.32, 2 Sn 3.24
Tl 0.5000 0.5000 0.8392  5 Tl 3.04-3.18
Sn 0.0000 0.0000 0.5000  8 Tl 3.24
Tl 0.5000 0.5000 0.1608  5 Tl 3.04-3.18
Cs 0.0000 0.0000 0.0000  16 Tl 4.14-4.21
Tl 0.0000 0.5000 0.6753  3 Tl 3.18-3.32, 2 Sn 3.24
Tl 0.5000 0.0000 0.6753  3 Tl 3.18-3.32, 2 Sn 3.24
Tl 0.5000 0.0000 0.3247  3 Tl 3.18-3.32, 2 Sn 3.24

## Properties
Electronic total energy (hartree per atom): -0.088
Calculated formation energy (eV per atom): -0.02
Space-group type: P4/mmm